Material: Pu2Zn5Ge3
Method: DFT, GGA-PBE
State: optimized geometry

Output
ΔE_f in eV per atom: -0.13
ρ in kg/m³: 8933
Calculated volume in Å³/cell: 192
Size of the total moment in μB/cell: 11.6

Geometry as POSCAR:
```
Pu2Zn5Ge3
1.0
4.220 0.000 0.000
0.000 4.220 0.000
0.000 0.000 10.784
Pu Zn Ge
2 5 3
Cartesian
0.000 2.110 2.644 Pu
2.110 0.000 8.140 Pu
0.000 0.000 5.392 Zn
0.000 2.110 6.751 Zn
2.110 0.000 4.034 Zn
2.110 2.110 0.000 Zn
2.110 2.110 5.392 Zn
0.000 0.000 0.000 Ge
0.000 2.110 9.184 Ge
2.110 0.000 1.600 Ge
```